Record 1
LiTaSe3 after structural relaxation. Source: Alexandria via LeMat-Bulk, functional GGA-PBE.

The structure in CIF format:
```
data_LiTaSe3
_chemical_formula_sum 'Li8 Ta8 Se24'
_symmetry_space_group_name_H-M 'C 1 2/c 1'
_symmetry_Int_Tables_number 15
_symmetry_space_group_name_Hall '-C 2yc'
_cell_length_a 13.175
_cell_length_b 12.077
_cell_length_c 6.281
_cell_angle_alpha 90.00
_cell_angle_beta 100.48
_cell_angle_gamma 90.00
loop_
_atom_site_label
_atom_site_fract_x
_atom_site_fract_y
_atom_site_fract_z
Li1 0.178 0.084 0.268
Ta1 0.000 0.236 0.750
Ta2 0.000 0.407 0.250
Se1 0.112 0.420 0.629
Se2 0.119 0.111 0.630
Se3 0.123 0.280 0.116
```

Results
The calculation puts the total energy at -5.6508 eV/atom. The value obtained for the energy above the most stable polymorph in this dataset is 0.32 eV per formula unit. The total magnetization is 0.0 Bohr magnetons per cell. The calculation puts the formation energy without anion corrections at -807 meV per atom.

Record 2
Li2TaSe after structural relaxation. Source: Alexandria via LeMat-Bulk, functional GGA-PBE.

The structure in CIF format:
```
data_Li2TaSe
_chemical_formula_sum 'Li2 Ta1 Se1'
_symmetry_space_group_name_H-M 'P 4 m m'
_symmetry_Int_Tables_number 99
_symmetry_space_group_name_Hall 'P 4 -2'
_cell_length_a 3.364
_cell_length_b 3.364
_cell_length_c 5.878
_cell_angle_alpha 90.00
_cell_angle_beta 90.00
_cell_angle_gamma 90.00
loop_
_atom_site_label
_atom_site_fract_x
_atom_site_fract_y
_atom_site_fract_z
Li1 0.000 0.000 0.000
Li2 0.500 0.500 0.222
Ta1 0.500 0.500 0.724
Se1 0.000 0.000 0.523
```

Results
The calculation puts the total energy at -4.9829 eV/atom. The total magnetization is 0.0 Bohr magnetons per cell. The calculation puts the formation energy without anion corrections at -192 meV per atom.

Record 3
LiTaSe3 after structural relaxation. Source: Alexandria via LeMat-Bulk, functional GGA-PBE.

The structure in CIF format:
```
data_LiTaSe3
_chemical_formula_sum 'Li2 Ta2 Se6'
_symmetry_space_group_name_H-M 'P 1'
_symmetry_Int_Tables_number 1
_symmetry_space_group_name_Hall 'P 1'
_cell_length_a 6.455
_cell_length_b 6.721
_cell_length_c 6.823
_cell_angle_alpha 118.67
_cell_angle_beta 102.88
_cell_angle_gamma 92.07
loop_
_atom_site_label
_atom_site_fract_x
_atom_site_fract_y
_atom_site_fract_z
Li1 0.000 0.000 0.000
Li2 0.377 0.708 0.410
Ta1 0.449 0.336 0.706
Ta2 0.942 0.333 0.697
Se1 0.102 0.025 0.405
Se2 0.194 0.635 0.704
Se3 0.252 0.331 0.005
Se4 0.595 0.042 0.390
Se5 0.693 0.637 0.700
Se6 0.757 0.339 0.007
```

Results
The calculation puts the total energy at -5.6970 eV/atom. The value obtained for the energy above the most stable polymorph in this dataset is 0.09 eV per formula unit. The total magnetization is 0.0 Bohr magnetons per cell. The calculation puts the formation energy without anion corrections at -853 meV per atom.

Record 4
Li3TaTi3Se8 after structural relaxation. Source: Alexandria via LeMat-Bulk, functional GGA-PBE.

The structure in CIF format:
```
data_Li3TaTi3Se8
_chemical_formula_sum 'Li9 Ta3 Ti9 Se24'
_symmetry_space_group_name_H-M 'R -3 m'
_symmetry_Int_Tables_number 166
_symmetry_space_group_name_Hall '-R 3 2"'
_cell_length_a 7.2113
_cell_length_b 7.2113
_cell_length_c 19.7993
_cell_angle_alpha 90.00
_cell_angle_beta 90.00
_cell_angle_gamma 120.00
loop_
_atom_site_label
_atom_site_fract_x
_atom_site_fract_y
_atom_site_fract_z
Li1 0.0000 0.5000 0.0000
Ta1 0.0000 0.0000 0.5000
Ti1 0.0000 0.5000 0.5000
Se1 0.0000 0.0000 0.2460
Se2 0.0039 0.5020 0.7538
```

Results
The calculation puts the total energy at -5.7220 eV/atom. The total magnetization is 4.9 Bohr magnetons per cell. The calculation puts the formation energy without anion corrections at -1112 meV per atom.

Record 5
Li4TaTi3Se8 after structural relaxation. Source: Alexandria via LeMat-Bulk, functional GGA-PBE.

The structure in CIF format:
```
data_Li4TaTi3Se8
_chemical_formula_sum 'Li12 Ta3 Ti9 Se24'
_symmetry_space_group_name_H-M 'R -3 m'
_symmetry_Int_Tables_number 166
_symmetry_space_group_name_Hall '-R 3 2"'
_cell_length_a 7.2546
_cell_length_b 7.2546
_cell_length_c 19.7147
_cell_angle_alpha 90.00
_cell_angle_beta 90.00
_cell_angle_gamma 120.00
loop_
_atom_site_label
_atom_site_fract_x
_atom_site_fract_y
_atom_site_fract_z
Li1 0.0000 0.0000 0.0000
Li2 0.0000 0.5000 0.0000
Ta1 0.0000 0.0000 0.5000
Ti1 0.0000 0.5000 0.5000
Se1 0.0000 0.0000 0.2460
Se2 0.0019 0.5009 0.7531
```

Results
The calculation puts the total energy at -5.5459 eV/atom. The total magnetization is 4.6 Bohr magnetons per cell. The calculation puts the formation energy without anion corrections at -1104 meV per atom.

Record 6
LiTa2TiSe after structural relaxation. Source: Alexandria via LeMat-Bulk, functional GGA-PBE.

The structure in CIF format:
```
data_LiTa2TiSe
_chemical_formula_sum 'Li1 Ta2 Ti1 Se1'
_symmetry_space_group_name_H-M 'P 4/m m m'
_symmetry_Int_Tables_number 123
_symmetry_space_group_name_Hall '-P 4 2'
_cell_length_a 4.783
_cell_length_b 4.783
_cell_length_c 4.928
_cell_angle_alpha 90.00
_cell_angle_beta 90.00
_cell_angle_gamma 90.00
loop_
_atom_site_label
_atom_site_fract_x
_atom_site_fract_y
_atom_site_fract_z
Li1 0.000 0.000 0.000
Ta1 0.000 0.500 0.500
Ti1 0.500 0.500 0.500
Se1 0.500 0.500 0.000
```

Results
The calculation puts the total energy at -6.3018 eV/atom. The total magnetization is 0.0 Bohr magnetons per cell. The calculation puts the formation energy without anion corrections at 1098 meV per atom.

Record 7
LiTaTl2Se4 after structural relaxation. Source: Alexandria via LeMat-Bulk, functional GGA-PBE.

The structure in CIF format:
```
data_LiTaTl2Se4
_chemical_formula_sum 'Li2 Ta2 Tl4 Se8'
_symmetry_space_group_name_H-M 'I -4'
_symmetry_Int_Tables_number 82
_symmetry_space_group_name_Hall 'I -4'
_cell_length_a 6.992
_cell_length_b 6.992
_cell_length_c 11.041
_cell_angle_alpha 90.00
_cell_angle_beta 90.00
_cell_angle_gamma 90.00
loop_
_atom_site_label
_atom_site_fract_x
_atom_site_fract_y
_atom_site_fract_z
Li1 0.000 0.000 0.000
Ta1 0.000 0.500 0.250
Tl1 0.000 0.000 0.500
Tl2 0.000 0.500 0.750
Se1 0.162 0.264 0.127
```

Results
The calculation puts the total energy at -4.7365 eV/atom. The total magnetization is 0.0 Bohr magnetons per cell. The calculation puts the formation energy without anion corrections at -682 meV per atom.

Record 8
LiTa2Tl2Se6 after structural relaxation. Source: Alexandria via LeMat-Bulk, functional GGA-PBE.

The structure in CIF format:
```
data_LiTa2Tl2Se6
_chemical_formula_sum 'Li2 Ta4 Tl4 Se12'
_symmetry_space_group_name_H-M 'C 1 2/m 1'
_symmetry_Int_Tables_number 12
_symmetry_space_group_name_Hall '-C 2y'
_cell_length_a 6.713
_cell_length_b 11.151
_cell_length_c 7.994
_cell_angle_alpha 90.00
_cell_angle_beta 102.77
_cell_angle_gamma 90.00
loop_
_atom_site_label
_atom_site_fract_x
_atom_site_fract_y
_atom_site_fract_z
Li1 0.000 0.000 0.000
Ta1 0.000 0.350 0.000
Tl1 0.000 0.173 0.500
Se1 0.185 0.500 0.222
Se2 0.225 0.177 0.182
```

Results
The calculation puts the total energy at -5.3506 eV/atom. The total magnetization is 0.2 Bohr magnetons per cell. The calculation puts the formation energy without anion corrections at -691 meV per atom.